No. 1
! PBE ScIn2Au, optimized geometry; values from VASP
! SG: P2/m
! Mass density (g cm⁻³): 8.8
! Total DFT energy (no corrections) (eV per atom): -4.0987
! Formation energy (eV per formula unit): -1.31
! Crystal system: monoclinic
&SYSTEM
  ibrav = 0, nat = 4, ntyp = 3
/
ATOMIC_SPECIES
Au 196.97 Au.upf
In 114.82 In.upf
Sc 44.96 Sc.upf
CELL_PARAMETERS angstrom
4.6816 0.0000 0.0000
0.0000 3.2031 -0.2043
0.0000 0.3556 5.9281
ATOMIC_POSITIONS angstrom
Au 2.3408 2.6690 4.2929
In 0.0000 2.3967 -0.1129
In 0.0000 2.5857 2.7705
Sc 2.3408 0.8897 1.4310

---

No. 2
! PBE TlTe2Cl, optimized geometry; values from VASP
! SG: P2/m
! Formation energy from raw total energies (eV per formula unit): -0.6
! Mass density (g cm⁻³): 6.3
! Total DFT energy (no corrections) (eV per atom): -2.7761
! E above lowest polymorph (meV/atom): 249.4
! Crystal system: monoclinic
&SYSTEM
  ibrav = 0, nat = 4, ntyp = 3
/
ATOMIC_SPECIES
Cl 35.45 Cl.upf
Te 127.60 Te.upf
Tl 204.38 Tl.upf
CELL_PARAMETERS angstrom
6.9137 0.0000 0.0000
0.0000 3.1593 0.0962
0.0000 3.1239 6.0544
ATOMIC_POSITIONS angstrom
Cl 3.4569 4.7124 4.6129
Te 0.0000 3.1181 6.0355
Te 0.0000 3.1473 3.0941
Tl 3.4569 1.5708 1.5376

---

No. 3
! PBE NaPaBi4O8, optimized geometry; values from VASP
! SG: R3m
! Formation energy from raw total energies (eV per formula unit): -22.3
! Mass density (g cm⁻³): 7.8
! Total DFT energy (no corrections) (eV per atom): -6.3040
! Crystal system: trigonal
&SYSTEM
  ibrav = 0, nat = 14, ntyp = 4
/
ATOMIC_SPECIES
Na 22.99 Na.upf
Pa 231.04 Pa.upf
Bi 208.98 Bi.upf
O 16.00 O.upf
CELL_PARAMETERS angstrom
-2.6003 -5.9193 3.1634
1.8330 -1.5557 6.7843
-4.8201 0.5445 5.2453
ATOMIC_POSITIONS angstrom
Na -4.7672 0.5093 5.2229
Pa -4.3320 -2.4419 8.2467
Bi -1.6644 -4.2164 7.1191
Bi -4.0133 -6.4422 9.2120
Bi -1.8658 -4.3285 10.9660
Bi -3.1254 -7.1958 12.4983
O -2.8872 -2.2617 9.7716
O -5.0630 -4.4034 7.9945
O -3.7868 -1.4982 6.4419
O -1.1852 -1.8734 3.7088
O -2.9778 -4.6597 5.2100
O -0.4671 -2.1884 7.2606
O -1.9398 -5.5407 9.0522
O -3.8307 -5.4372 11.2426

---

No. 4
! PBE CoSnH2, optimized geometry; values from VASP
! SG: I4mm
! Mass density (g cm⁻³): 7.3
! Total DFT energy (no corrections) (eV per atom): -4.4380
! E above lowest polymorph (meV/atom): 0.0
! Crystal system: tetragonal
&SYSTEM
  ibrav = 0, nat = 4, ntyp = 3
/
ATOMIC_SPECIES
Co 58.93 Co.upf
Sn 118.71 Sn.upf
H 1.01 H.upf
CELL_PARAMETERS angstrom
-0.5999 -1.1406 -2.8385
3.0470 0.0352 -0.6580
-0.8537 -3.3548 3.2371
ATOMIC_POSITIONS angstrom
Co -0.2172 -1.4474 -1.0847
Sn 1.7461 -2.3319 0.5657
H 1.2563 -0.8930 -1.6182
H 0.0317 -0.3407 0.1294

---

No. 5
! PBE UMoC2, optimized geometry; values from VASP
! SG: Pnma
! Mass density (g cm⁻³): 11.8
! Total DFT energy (no corrections) (eV per atom): -10.4476
! Formation energy (eV per formula unit): -1.22
! E above lowest polymorph (meV/atom): 0.0
! Crystal system: orthorhombic
&SYSTEM
  ibrav = 0, nat = 16, ntyp = 3
/
ATOMIC_SPECIES
U 238.03 U.upf
Mo 95.94 Mo.upf
C 12.01 C.upf
CELL_PARAMETERS angstrom
-1.7707 -2.6790 0.2065
4.0078 -2.8600 -2.7390
4.8508 -2.4610 9.6674
ATOMIC_POSITIONS angstrom
U 4.0380 -3.0087 8.1286
U 3.0499 -4.9913 -0.9938
U 4.9940 -3.9070 4.6707
U 2.0939 -4.0930 2.4641
Mo 1.9024 -3.7130 5.7522
Mo 5.3499 -5.8754 7.2597
Mo 5.1854 -4.2870 1.3827
Mo 1.7379 -2.1246 -0.1248
C 7.3819 -5.2601 7.5927
C -0.2940 -2.7399 -0.4579
C 3.0228 -2.6352 4.2684
C 4.0650 -5.3648 2.8664
C 1.3946 -1.7364 1.9674
C 3.6339 -4.8054 6.4264
C 3.4539 -3.1946 0.7084
C 5.6933 -6.2636 5.1675

---

No. 6
! PBE Ho5PdRh4, optimized geometry; values from VASP
! SG: P4/mmm
! Mass density (g cm⁻³): 11.1
! Total DFT energy (no corrections) (eV per atom): -6.6568
! Formation energy (eV per formula unit): -9.08
! Crystal system: tetragonal
&SYSTEM
  ibrav = 0, nat = 10, ntyp = 3
/
ATOMIC_SPECIES
Ho 164.93 Ho.upf
Pd 106.42 Pd.upf
Rh 102.91 Rh.upf
CELL_PARAMETERS angstrom
-1.4970 -2.8350 -1.1245
2.3018 -0.2284 -2.4885
10.2623 -9.5309 10.3673
ATOMIC_POSITIONS angstrom
Ho 1.4733 -2.5263 -0.7246
Ho 3.4979 -4.4067 1.3207
Ho 5.5335 -6.2972 3.3772
Ho 7.5691 -8.1877 5.4336
Ho 9.5938 -10.0681 7.4789
Pd 0.0000 0.0000 0.0000
Rh 2.0702 -1.9227 2.0914
Rh 4.1136 -3.8205 4.1557
Rh 6.1486 -5.7105 6.2115
Rh 8.1921 -7.6082 8.2759

---

No. 7
! PBE PrTh2Bi, optimized geometry; values from VASP
! SG: R-3m
! Mass density (g cm⁻³): 9.8
! Total DFT energy (no corrections) (eV per atom): -5.7257
! Formation energy (eV per formula unit): 0.60
! E above lowest polymorph (meV/atom): 448.7
! Crystal system: trigonal
&SYSTEM
  ibrav = 0, nat = 4, ntyp = 3
/
ATOMIC_SPECIES
Pr 140.91 Pr.upf
Bi 208.98 Bi.upf
Th 232.04 Th.upf
CELL_PARAMETERS angstrom
3.5252 0.0000 0.0000
1.7626 3.0529 0.0000
1.7626 1.0176 12.7623
ATOMIC_POSITIONS angstrom
Pr 3.5252 2.0353 6.3812
Bi 0.0000 0.0000 0.0000
Th 1.7626 1.0176 9.4717
Th 5.2878 3.0529 3.2907

---

No. 8
! PBE La4Pd2I5, optimized geometry; values from VASP
! SG: Immm
! Formation energy from raw total energies (eV per formula unit): -12.3
! Mass density (g cm⁻³): 6.0
! Total DFT energy (no corrections) (eV per atom): -4.5557
! Crystal system: orthorhombic
&SYSTEM
  ibrav = 0, nat = 11, ntyp = 3
/
ATOMIC_SPECIES
La 138.91 La.upf
Pd 106.42 Pd.upf
I 126.90 I.upf
CELL_PARAMETERS angstrom
-1.1074 2.0902 -3.4098
-8.1248 -4.2709 0.0207
0.7438 8.4850 7.4853
ATOMIC_POSITIONS angstrom
La -2.3901 -1.2564 0.0061
La -6.1461 1.8313 0.5934
La -5.7348 -3.0146 0.0146
La -2.3424 4.4730 3.5028
Pd -3.3628 6.4215 5.0287
Pd -5.1257 -0.1172 -0.9325
I -0.8900 7.1826 2.1667
I -5.4032 4.8102 2.1782
I -3.0853 1.4941 1.9180
I -7.5985 -0.8783 1.9294
I -0.5537 1.0451 -1.7049

---

No. 9
! PBE RbWN2, optimized geometry; values from VASP
! SG: Fm-3m
! Formation energy from raw total energies (eV per formula unit): 8.0
! Mass density (g cm⁻³): 9.5
! Total DFT energy (no corrections) (eV per atom): -5.6525
! E above lowest polymorph (meV/atom): 2419.5
! Crystal system: cubic
&SYSTEM
  ibrav = 0, nat = 4, ntyp = 3
/
ATOMIC_SPECIES
Rb 85.47 Rb.upf
W 183.84 W.upf
N 14.01 N.upf
CELL_PARAMETERS angstrom
-0.9646 1.8285 3.6400
-0.0331 4.1751 0.3009
-3.6314 2.0395 0.4202
ATOMIC_POSITIONS angstrom
Rb 0.0000 0.0000 0.0000
W -2.3146 4.0216 2.1806
N -1.1573 2.0108 1.0903
N -3.4719 6.0323 3.2709

---

No. 10
! PBE Cr3P, optimized geometry; values from VASP
! SG: Pmmm
! Mass density (g cm⁻³): 6.7
! Total DFT energy (no corrections) (eV per atom): -8.6441
! Formation energy (eV per formula unit): -0.30
! E above lowest polymorph (meV/atom): 286.8
! Crystal system: orthorhombic
&SYSTEM
  ibrav = 0, nat = 4, ntyp = 2
/
ATOMIC_SPECIES
Cr 52.00 Cr.upf
P 30.97 P.upf
CELL_PARAMETERS angstrom
2.7386 0.0000 0.0000
0.0000 3.6755 0.0000
0.0000 0.0000 4.6101
ATOMIC_POSITIONS angstrom
Cr 1.3693 1.8378 3.5304
Cr 0.0000 0.0000 2.3051
Cr 1.3693 1.8378 1.0798
P 0.0000 0.0000 0.0000

---

No. 11
! PBE Sn2IrAuI, optimized geometry; values from VASP
! SG: P4/mmm
! Formation energy from raw total energies (eV per formula unit): 5.9
! Mass density (g cm⁻³): 8.1
! Total DFT energy (no corrections) (eV per atom): -3.1590
! Crystal system: tetragonal
&SYSTEM
  ibrav = 0, nat = 5, ntyp = 4
/
ATOMIC_SPECIES
I 126.90 I.upf
Ir 192.22 Ir.upf
Au 196.97 Au.upf
Sn 118.71 Sn.upf
CELL_PARAMETERS angstrom
5.3106 0.0000 0.0000
0.0000 5.4857 0.0000
0.0000 0.0000 5.3106
ATOMIC_POSITIONS angstrom
I 0.0000 2.7428 0.0000
Ir 2.6553 2.7428 2.6553
Au 0.0000 0.0000 0.0000
Sn 0.0000 0.0000 2.6553
Sn 2.6553 0.0000 0.0000

---

No. 12
! PBE TbNd5Y2Ho, optimized geometry; values from VASP
! SG: Cmc2_1
! Mass density (g cm⁻³): 6.5
! Total DFT energy (no corrections) (eV per atom): -4.9689
! Formation energy (eV per formula unit): 1.26
! Crystal system: orthorhombic
&SYSTEM
  ibrav = 0, nat = 18, ntyp = 4
/
ATOMIC_SPECIES
Tb 158.93 Tb.upf
Nd 144.24 Nd.upf
Y 88.91 Y.upf
Ho 164.93 Ho.upf
CELL_PARAMETERS angstrom
-1.3659 4.2985 -3.4618
2.4281 -8.1308 -6.3850
-10.2366 -3.1536 0.1231
ATOMIC_POSITIONS angstrom
Tb -4.8583 -3.0451 -6.5334
Tb 0.5958 -2.4276 -3.2494
Nd 1.1271 -4.7182 -6.3033
Nd -8.2230 -3.0321 -5.1896
Nd -5.9321 -8.1126 -7.7329
Nd -6.1823 -5.7758 -4.7326
Nd -4.3084 -5.2617 -9.5027
Nd -5.6410 -0.8320 -3.4764
Nd -2.2070 -4.3406 -4.5190
Nd -3.1165 1.1654 -1.9923
Nd -2.0744 -0.9273 -5.0021
Nd -0.1317 -0.2657 -0.2780
Y -7.6677 -5.0175 -7.8740
Y -7.1520 -3.6638 -1.7275
Y -2.8062 -2.3687 -1.8341
Y -1.7534 -3.2392 -7.9994
Ho -10.2124 -1.9784 -3.0963
Ho -3.3042 -6.3452 -6.5752